Here is an optimized crystal structure of BaNaCd2Fe from Alexandria. Energies are from PBE-GGA.

Values from the calculation:
The value obtained for the total energy is -9.06 eV per cell. Its energy relative to the elements is 896 meV/atom.

Unit cell a=5.359 b=5.359 c=6.136 alpha=90.00 beta=90.00 gamma=90.00
Fractional positions:
Ba 0.000 0.000 0.000
Na 0.000 0.000 0.500
Cd 0.000 0.500 0.500
Cd 0.500 0.000 0.500
Fe 0.500 0.500 0.000